# AcFeNi4 (PBE-GGA, relaxed)
data_AcFeNi4
_cell_length_a 7.127
_cell_length_b 7.127
_cell_length_c 7.127
_cell_angle_alpha 90.00
_cell_angle_beta 90.00
_cell_angle_gamma 90.00
_symmetry_space_group_name_H-M 'F -4 3 m'
_symmetry_Int_Tables_number 216
_symmetry_space_group_name_Hall 'F -4 2 3'
loop_
_atom_site_label
_atom_site_fract_x
_atom_site_fract_y
_atom_site_fract_z
Ac1 0.000 0.000 0.000
Fe1 0.250 0.250 0.250
Ni1 0.123 0.123 0.623
# DFT formation energy (eV per atom): 0.057
# M_tot (μB per formula unit): 4.76